# 1
Entry from Alexandria: an optimized crystal structure of Mg2AlAg2 (PBE-GGA).

Calculated values
For the formation energy, the calculation gives -0.1525 eV per atom. The polymorph energy (0 for the lowest one) comes out at 0 meV/atom. The space group is C2/c, No. 15.

a = 5.6589 Å, b = 5.6589 Å, c = 7.5152 Å
α = 107.51°, β = 107.51°, γ = 54.32°
With the nearest neighbours (Å) after each atom.
Sites, in units of the cell vectors:
1 Mg 0.0330 0.3372 0.1470  6 Ag 2.86-3.01, 3 Al 2.96-3.07, 3 Mg 3.07-3.09
2 Mg 0.3372 0.0330 0.6470  6 Ag 2.86-3.01, 3 Al 2.96-3.07, 3 Mg 3.07-3.09
3 Mg 0.6628 0.9670 0.3530  6 Ag 2.86-3.01, 3 Al 2.96-3.07, 3 Mg 3.07-3.09
4 Mg 0.9670 0.6628 0.8530  6 Ag 2.86-3.01, 3 Al 2.96-3.07, 3 Mg 3.07-3.09
5 Al 0.2238 0.7762 0.2500  4 Ag 2.77-2.79, 6 Mg 2.96-3.07
6 Al 0.7762 0.2238 0.7500  4 Ag 2.77-2.79, 6 Mg 2.96-3.07
7 Ag 0.2282 0.5627 0.5417  2 Al 2.77-2.79, 6 Mg 2.86-3.01, 2 Ag 2.91-2.95
8 Ag 0.4373 0.7718 0.9583  2 Al 2.77-2.79, 6 Mg 2.86-3.01, 2 Ag 2.91-2.95
9 Ag 0.5627 0.2282 0.0417  2 Al 2.77-2.79, 6 Mg 2.86-3.01, 2 Ag 2.91-2.95
10 Ag 0.7718 0.4373 0.4583  2 Al 2.77-2.79, 6 Mg 2.86-3.01, 2 Ag 2.91-2.95

# 2
Entry from Alexandria: an optimized crystal structure of CrPbW (PBE-GGA).

Calculated values
For the formation energy, the calculation gives 0.9418 eV per atom. The polymorph energy (0 for the lowest one) comes out at 227 meV/atom. The space group is P3m1, No. 156.

a = 4.5258 Å, b = 4.5258 Å, c = 2.9939 Å
α = 90.00°, β = 90.00°, γ = 120.00°
With the nearest neighbours (Å) after each atom.
Sites, in units of the cell vectors:
1 Cr 0.0000 0.0000 0.0000  3 W 2.73, 3 Pb 2.76, 2 Cr 2.99
2 Pb 0.3333 0.6667 0.2917  3 Cr 2.76, 3 W 2.94, 2 Pb 2.99
3 W 0.6667 0.3333 0.7384  3 Cr 2.73, 3 Pb 2.94, 2 W 2.99

# 3
Entry from Alexandria: an optimized crystal structure of CdReCl2 (PBE-GGA).

Calculated values
The polymorph energy (0 for the lowest one) comes out at 300 meV/atom. The space group is I-42d, No. 122. The calculation puts the energy relative to the elements, uncorrected at 0.3288 eV/atom.

a = 6.4328 Å, b = 6.4328 Å, c = 6.4328 Å
α = 100.92°, β = 100.92°, γ = 128.40°
With the nearest neighbours (Å) after each atom.
Sites, in units of the cell vectors:
1 Cd 0.0000 0.0000 0.0000  2 Re 2.80, 4 Cl 3.08
2 Cd 0.7500 0.2500 0.5000  2 Re 2.80, 4 Cl 3.08
3 Re 0.2500 0.7500 0.5000  4 Cl 2.36
4 Re 0.5000 0.5000 0.0000  4 Cl 2.36
5 Cl 0.2605 0.6250 0.1355  2 Re 2.36
6 Cl 0.3750 0.5105 0.6355  2 Re 2.36
7 Cl 0.4895 0.1250 0.8645  2 Re 2.36
8 Cl 0.8750 0.7395 0.3645  2 Re 2.36

# 4
Entry from Alexandria: an optimized crystal structure of BeNbCoRh (PBE-GGA).

Calculated values
For the formation energy, the calculation gives -0.2842 eV per atom. The space group is F-43m, No. 216.

a = 4.1999 Å, b = 4.1999 Å, c = 4.1999 Å
α = 60.00°, β = 60.00°, γ = 60.00°
With the nearest neighbours (Å) after each atom.
Sites, in units of the cell vectors:
1 Be 0.0000 0.0000 0.0000  4 Co 2.57, 4 Rh 2.57
2 Nb 0.5000 0.5000 0.5000  4 Co 2.57, 4 Rh 2.57
3 Co 0.2500 0.2500 0.2500  4 Nb 2.57, 4 Be 2.57
4 Rh 0.7500 0.7500 0.7500  4 Nb 2.57, 4 Be 2.57